Entry 1:
DFT (PBE) results for crystalline Pm8GePd2 at its relaxed geometry.

Cell lengths 5.2174, 6.9375, 9.6742 Å; angles 109.27, 105.64, 90.00 degrees
Closest atoms and distances in Å follow each position.
Sites, in units of the cell vectors:
Pm 0.4061 0.5349 0.8121  1 Ge 3.10, 2 Pd 3.22
Pm 0.6746 0.0035 0.3493  1 Pd 2.86
Pm 0.7988 0.6580 0.5977  1 Pd 2.93
Pm 0.9713 0.2094 0.9425  1 Pd 2.81, 2 Ge 3.12
Pm 0.2012 0.3420 0.4023  1 Pd 2.93
Pm 0.3254 0.9965 0.6507  1 Pd 2.86
Pm 0.5939 0.4651 0.1879  1 Ge 3.10, 2 Pd 3.22
Pm 0.0287 0.7906 0.0575  1 Pd 2.81, 2 Ge 3.12
Ge 0.5000 0.0000 0.0000  8 Pm 3.10-3.25
Pd 0.8301 0.2722 0.6602  3 Pm 2.81-2.93
Pd 0.1699 0.7278 0.3398  3 Pm 2.81-2.93

Output
- Formation energy: -413 meV/atom
- Theoretical density: 7.6 g cm⁻³

Entry 2:
DFT (PBE) results for crystalline BaSbAu at its relaxed geometry.

Cell lengths 5.1376, 4.3737, 9.5861 Å; angles 103.19, 108.46, 90.00 degrees
Closest atoms and distances in Å follow each position.
Sites, in units of the cell vectors:
Ba 0.5945 0.8811 0.7623  6 Au 3.45-3.76, 5 Sb 3.62-3.80
Ba 0.4055 0.1189 0.2377  6 Au 3.45-3.76, 5 Sb 3.62-3.80
Sb 0.9987 0.3043 0.6086  1 Au 2.88, 2 Sb 2.98
Sb 0.0013 0.6957 0.3914  1 Au 2.88, 2 Sb 2.98
Au 0.2118 0.4674 0.9349  2 Au 2.81-2.82, 1 Sb 2.88
Au 0.7882 0.5326 0.0651  2 Au 2.81-2.82, 1 Sb 2.88

Output
- E_form (uncorrected): -2.11 eV/f.u.
- Theoretical density: 7.6 g cm⁻³

Entry 3:
DFT (PBE) results for crystalline Sc3RhO at its relaxed geometry.

Cell lengths 4.3354, 4.3354, 4.3354 Å; angles 90.00, 90.00, 90.00 degrees
Closest atoms and distances in Å follow each position.
Sites, in units of the cell vectors:
Sc 0.0000 0.5000 0.0000  2 O 2.17
Sc 0.0000 0.0000 0.5000  2 O 2.17
Sc 0.5000 0.0000 0.0000  2 O 2.17
Rh 0.5000 0.5000 0.5000  12 Sc 3.07
O 0.0000 0.0000 0.0000  6 Sc 2.17

Output
- E_form (uncorrected): -7.56 eV/f.u.
- Theoretical density: 5.2 g cm⁻³

Entry 4:
DFT (PBE) results for crystalline SrCoTc at its relaxed geometry.

Cell lengths 4.4557, 4.4557, 4.4557 Å; angles 60.00, 60.00, 60.00 degrees
Closest atoms and distances in Å follow each position.
Sites, in units of the cell vectors:
Sr 0.7500 0.7500 0.7500  4 Co 2.73
Co 0.5000 0.5000 0.5000  4 Sr 2.73, 4 Tc 2.73
Tc 0.2500 0.2500 0.2500  4 Co 2.73

Output
- Formation energy: 1170 meV/atom
- Polymorph energy (0 for the lowest one): 0.897 eV/atom
- Theoretical density: 6.5 g cm⁻³

Entry 5:
DFT (PBE) results for crystalline KLaZn2H8 at its relaxed geometry.

Cell lengths 4.8345, 4.8345, 8.3528 Å; angles 90.00, 90.00, 120.00 degrees
Closest atoms and distances in Å follow each position.
Sites, in units of the cell vectors:
K 0.0000 0.0000 0.5000  6 H 2.56
La 0.0000 0.0000 0.0000  6 H 2.44
Zn 0.6667 0.3333 0.1986  4 H 1.62-1.70
Zn 0.3333 0.6667 0.8014  4 H 1.62-1.70
H 0.3333 0.6667 0.0048  1 Zn 1.70
H 0.3072 0.2540 0.2415  1 Zn 1.62
H 0.7460 0.0532 0.2415  1 Zn 1.62
H 0.6667 0.3333 0.9952  1 Zn 1.70
H 0.2540 0.9468 0.7585  1 Zn 1.62
H 0.6928 0.7460 0.7585  1 Zn 1.62
H 0.0532 0.3072 0.7585  1 Zn 1.62
H 0.9468 0.6928 0.2415  1 Zn 1.62

Output
- E_tot: -37.95 eV for the cell shown
- Theoretical density: 3.1 g cm⁻³

Entry 6:
DFT (PBE) results for crystalline TcAgHgF6 at its relaxed geometry.

Cell lengths 6.2387, 6.2387, 9.4770 Å; angles 90.00, 90.00, 120.00 degrees
Closest atoms and distances in Å follow each position.
Sites, in units of the cell vectors:
Tc 0.6667 0.3333 0.2500  6 F 1.96
Tc 0.3333 0.6667 0.7500  6 F 1.96
Ag 0.3333 0.6667 0.2500  6 F 2.52
Ag 0.6667 0.3333 0.7500  6 F 2.52
Hg 0.0000 0.0000 0.0000  6 F 2.72
Hg 0.0000 0.0000 0.5000  6 F 2.72
F 0.6523 0.5881 0.1357  1 Tc 1.96
F 0.9358 0.3477 0.1357  1 Tc 1.96
F 0.3477 0.9358 0.6357  1 Tc 1.96
F 0.0642 0.6523 0.8643  1 Tc 1.96
F 0.4119 0.3477 0.3643  1 Tc 1.96
F 0.9358 0.5881 0.3643  1 Tc 1.96
F 0.5881 0.9358 0.8643  1 Tc 1.96
F 0.6523 0.0642 0.3643  1 Tc 1.96
F 0.0642 0.4119 0.6357  1 Tc 1.96
F 0.4119 0.0642 0.1357  1 Tc 1.96
F 0.5881 0.6523 0.6357  1 Tc 1.96
F 0.3477 0.4119 0.8643  1 Tc 1.96

Output
- E_form (uncorrected): -14.47 eV/f.u.
- Theoretical density: 5.4 g cm⁻³

Entry 7:
DFT (PBE) results for crystalline RbLaRu3 at its relaxed geometry.

Cell lengths 5.1058, 5.1058, 5.1058 Å; angles 90.00, 90.00, 90.00 degrees
Closest atoms and distances in Å follow each position.
Sites, in units of the cell vectors:
Ru 0.0000 0.5000 0.0000  2 La 2.55
Ru 0.0000 0.0000 0.5000  2 La 2.55
Ru 0.5000 0.0000 0.0000  2 La 2.55
Rb 0.5000 0.5000 0.5000  12 Ru 3.61
La 0.0000 0.0000 0.0000  6 Ru 2.55

Output
- Formation energy: 1668 meV/atom
- Polymorph energy (0 for the lowest one): 0.000 eV/atom
- Theoretical density: 6.6 g cm⁻³

Entry 8:
DFT (PBE) results for crystalline ErPuPtRh at its relaxed geometry.

Cell lengths 4.8820, 4.8820, 4.8820 Å; angles 60.00, 60.00, 60.00 degrees
Closest atoms and distances in Å follow each position.
Sites, in units of the cell vectors:
Er 0.0000 0.0000 0.0000  4 Rh 2.99, 4 Pt 2.99
Rh 0.2500 0.2500 0.2500  4 Er 2.99, 4 Pu 2.99
Pt 0.7500 0.7500 0.7500  4 Er 2.99, 4 Pu 2.99
Pu 0.5000 0.5000 0.5000  4 Rh 2.99, 4 Pt 2.99

Output
- Formation energy: -801 meV/atom
- Polymorph energy (0 for the lowest one): 0.068 eV/atom
- Theoretical density: 14.3 g cm⁻³

Entry 9:
DFT (PBE) results for crystalline NaTe2OsI at its relaxed geometry.

Cell lengths 5.5331, 5.5331, 5.4652 Å; angles 90.00, 90.00, 90.00 degrees
Closest atoms and distances in Å follow each position.
Sites, in units of the cell vectors:
I 0.0000 0.0000 0.5000  2 Na 2.73
Na 0.0000 0.0000 0.0000  2 I 2.73, 4 Te 2.77
Te 0.0000 0.5000 0.0000  2 Na 2.77
Te 0.5000 0.0000 0.0000  2 Na 2.77
Os 0.5000 0.5000 0.5000  8 Te 3.89, 4 I 3.91

Output
- Polymorph energy (0 for the lowest one): 1.365 eV/atom
- E_form (uncorrected): 8.02 eV/f.u.
- Theoretical density: 5.9 g cm⁻³

Entry 10:
DFT (PBE) results for crystalline Sb2HPd2 at its relaxed geometry.

Cell lengths 7.5621, 7.5621, 3.3692 Å; angles 90.00, 90.00, 90.00 degrees
Closest atoms and distances in Å follow each position.
Sites, in units of the cell vectors:
Sb 0.1637 0.6637 0.5000  6 Pd 2.74-2.82
Sb 0.6637 0.8363 0.5000  6 Pd 2.74-2.82
Sb 0.8363 0.3363 0.5000  6 Pd 2.74-2.82
Sb 0.3363 0.1637 0.5000  6 Pd 2.74-2.82
Pd 0.3661 0.8661 0.0000  6 Sb 2.74-2.82, 1 Pd 2.86, 2 H 2.95
Pd 0.8661 0.6339 0.0000  6 Sb 2.74-2.82, 1 Pd 2.86, 2 H 2.95
Pd 0.6339 0.1339 0.0000  6 Sb 2.74-2.82, 1 Pd 2.86, 2 H 2.95
Pd 0.1339 0.3661 0.0000  6 Sb 2.74-2.82, 1 Pd 2.86, 2 H 2.95
H 0.0000 0.0000 0.0000  4 Pd 2.95, 8 Sb 3.29
H 0.5000 0.5000 0.0000  4 Pd 2.95, 8 Sb 3.29

Output
- E_tot: -41.89 eV for the cell shown
- Theoretical density: 7.9 g cm⁻³

Entry 11:
DFT (PBE) results for crystalline IrCSe2Br at its relaxed geometry.

Cell lengths 4.8261, 4.8261, 5.2850 Å; angles 90.00, 90.00, 90.00 degrees
Closest atoms and distances in Å follow each position.
Sites, in units of the cell vectors:
C 0.5000 0.5000 0.5000  4 Br 3.41, 8 Se 3.58
Ir 0.0000 0.0000 0.0000  4 Se 2.41, 2 Br 2.64
Se 0.0000 0.5000 0.0000  2 Ir 2.41
Se 0.5000 0.0000 0.0000  2 Ir 2.41
Br 0.0000 0.0000 0.5000  2 Ir 2.64

Output
- Polymorph energy (0 for the lowest one): 0.102 eV/atom
- E_form (uncorrected): 8.77 eV/f.u.
- Theoretical density: 6.0 g cm⁻³

Entry 12:
DFT (PBE) results for crystalline CdInSnGe at its relaxed geometry.

Cell lengths 5.1641, 5.1641, 5.1641 Å; angles 60.00, 60.00, 60.00 degrees
Closest atoms and distances in Å follow each position.
Sites, in units of the cell vectors:
Ge 0.0000 0.0000 0.0000  4 In 3.16, 4 Sn 3.16
Cd 0.5000 0.5000 0.5000  4 In 3.16, 4 Sn 3.16
Sn 0.7500 0.7500 0.7500  4 Ge 3.16, 4 Cd 3.16
In 0.2500 0.2500 0.2500  4 Cd 3.16, 4 Ge 3.16

Output
- Formation energy: 132 meV/atom
- Theoretical density: 7.1 g cm⁻³

Entry 13:
DFT (PBE) results for crystalline FeH2C2N4 at its relaxed geometry.

Cell lengths 3.1735, 6.2716, 8.6397 Å; angles 90.00, 90.00, 90.00 degrees
Closest atoms and distances in Å follow each position.
Sites, in units of the cell vectors:
Fe 0.5000 0.5000 0.5000  6 N 1.87-2.08
Fe 0.0000 0.0000 0.0000  6 N 1.87-2.08
H 0.5000 0.3078 0.9488  1 N 1.03
H 0.5000 0.6922 0.0512  1 N 1.03
H 0.0000 0.8078 0.5512  1 N 1.03
H 0.0000 0.1922 0.4488  1 N 1.03
C 0.5000 0.6877 0.8258  1 N 1.18
C 0.5000 0.3123 0.1742  1 N 1.18
C 0.0000 0.1877 0.6742  1 N 1.18
C 0.0000 0.8123 0.3258  1 N 1.18
N 0.5000 0.7942 0.9582  1 H 1.03
N 0.5000 0.2058 0.0418  1 H 1.03
N 0.0000 0.2942 0.5418  1 H 1.03
N 0.0000 0.7058 0.4582  1 H 1.03
N 0.5000 0.6062 0.7026  1 C 1.18
N 0.5000 0.3938 0.2974  1 C 1.18
N 0.0000 0.1062 0.7974  1 C 1.18
N 0.0000 0.8938 0.2026  1 C 1.18

Output
- E_tot: -131.78 eV for the cell shown
- Theoretical density: 2.7 g cm⁻³

Entry 14:
DFT (PBE) results for crystalline MoIr2Os at its relaxed geometry.

Cell lengths 4.3966, 2.7602, 4.8313 Å; angles 90.00, 90.00, 90.00 degrees
Closest atoms and distances in Å follow each position.
Sites, in units of the cell vectors:
Mo 0.0000 0.6250 0.4642  2 Os 2.72, 8 Ir 2.73-2.83, 2 Mo 2.76
Ir 0.0000 0.1251 0.9538  4 Os 2.71, 4 Ir 2.73-2.76, 4 Mo 2.74-2.83
Ir 0.5000 0.1249 0.2880  4 Ir 2.73-2.76, 4 Mo 2.73, 4 Os 2.76-2.81
Os 0.5000 0.6250 0.7941  8 Ir 2.71-2.81, 2 Mo 2.72, 2 Os 2.76

Output
- Formation energy: -228 meV/atom
- Polymorph energy (0 for the lowest one): 0.000 eV/atom
- Theoretical density: 19.0 g cm⁻³

Entry 15:
DFT (PBE) results for crystalline PmYIr at its relaxed geometry.

Cell lengths 4.5807, 4.5807, 8.0392 Å; angles 106.50, 106.50, 90.04 degrees
Closest atoms and distances in Å follow each position.
Sites, in units of the cell vectors:
Pm 0.3136 0.3136 0.1270  1 Ir 2.76
Pm 0.6864 0.6864 0.8730  1 Ir 2.76
Y 0.0000 0.5000 0.5000  4 Ir 2.95, 4 Y 3.24
Y 0.5000 0.0000 0.5000  4 Ir 2.95, 4 Y 3.24
Ir 0.8745 0.8745 0.2476  1 Pm 2.76, 4 Y 2.95
Ir 0.1255 0.1255 0.7524  1 Pm 2.76, 4 Y 2.95

Output
- Formation energy: -533 meV/atom
- Polymorph energy (0 for the lowest one): 0.070 eV/atom
- Theoretical density: 9.2 g cm⁻³

Entry 16:
DFT (PBE) results for crystalline ZrSi4Rh at its relaxed geometry.

Cell lengths 4.9998, 4.9998, 4.9998 Å; angles 60.00, 60.00, 60.00 degrees
Closest atoms and distances in Å follow each position.
Sites, in units of the cell vectors:
Zr 0.2500 0.2500 0.2500  12 Si 2.93, 4 Rh 3.06
Si 0.1216 0.6261 0.6261  6 Si 2.48-2.52
Si 0.6261 0.6261 0.6261  6 Si 2.48-2.52
Si 0.6261 0.1216 0.6261  6 Si 2.48-2.52
Si 0.6261 0.6261 0.1216  6 Si 2.48-2.52
Rh 0.0000 0.0000 0.0000  12 Si 2.93, 4 Zr 3.06

Output
- E_form (uncorrected): -0.38 eV/f.u.
- Theoretical density: 5.8 g cm⁻³

Entry 17:
DFT (PBE) results for crystalline TiGe2B2 at its relaxed geometry.

Cell lengths 2.7717, 2.7717, 8.3825 Å; angles 80.48, 80.48, 90.00 degrees
Closest atoms and distances in Å follow each position.
Sites, in units of the cell vectors:
Ge 0.3778 0.3778 0.2444  4 B 2.50, 4 Ge 2.77, 4 Ti 2.79
Ge 0.6222 0.6222 0.7556  4 B 2.50, 4 Ge 2.77, 4 Ti 2.79
B 0.7500 0.2500 0.5000  4 B 1.96
B 0.2500 0.7500 0.5000  4 B 1.96
Ti 0.0000 0.0000 0.0000  4 Ti 2.77, 8 Ge 2.79

Output
- Formation energy: 556 meV/atom
- Polymorph energy (0 for the lowest one): 0.000 eV/atom
- Theoretical density: 5.7 g cm⁻³

Entry 18:
DFT (PBE) results for crystalline AlInRe2 at its relaxed geometry.

Cell lengths 7.3397, 7.3397, 5.8183 Å; angles 50.90, 50.90, 90.00 degrees
Closest atoms and distances in Å follow each position.
Sites, in units of the cell vectors:
Re 0.5849 0.1250 0.2500  2 Al 2.48, 2 Re 2.70
Re 0.1651 0.6250 0.2500  2 Al 2.48, 2 Re 2.70
Re 0.3750 0.4151 0.7500  2 Al 2.48, 2 Re 2.70
Re 0.8750 0.8349 0.7500  2 Al 2.48, 2 Re 2.70
Al 0.5000 0.5000 0.0000  4 Re 2.48, 2 In 2.63
Al 0.2500 0.7500 0.5000  4 Re 2.48, 2 In 2.63
In 0.0000 0.0000 0.0000  2 Al 2.63, 4 Re 2.89
In 0.7500 0.2500 0.5000  2 Al 2.63, 4 Re 2.89

Output
- Formation energy: 935 meV/atom
- Polymorph energy (0 for the lowest one): 0.833 eV/atom
- Theoretical density: 12.1 g cm⁻³

Entry 19:
DFT (PBE) results for crystalline Pa2Ge2AuS2 at its relaxed geometry.

Cell lengths 5.0659, 5.0659, 7.4668 Å; angles 90.00, 90.00, 120.00 degrees
Closest atoms and distances in Å follow each position.
Sites, in units of the cell vectors:
Pa 0.6667 0.3333 0.2956  4 S 2.64-2.95, 3 Ge 2.94
Pa 0.3333 0.6667 0.7044  4 S 2.64-2.95, 3 Ge 2.94
Ge 0.0000 0.0000 0.6675  1 Au 2.48, 1 Ge 2.50
Ge 0.0000 0.0000 0.3325  1 Au 2.48, 1 Ge 2.50
Au 0.0000 0.0000 0.0000  2 Ge 2.48
S 0.6667 0.3333 0.6493  4 Pa 2.64-2.95, 3 Ge 2.93
S 0.3333 0.6667 0.3507  4 Pa 2.64-2.95, 3 Ge 2.93

Output
- E_form (uncorrected): -2.12 eV/f.u.
- Theoretical density: 8.7 g cm⁻³

Entry 20:
DFT (PBE) results for crystalline FeTc2Ag at its relaxed geometry.

Cell lengths 5.1895, 5.1895, 2.5908 Å; angles 82.40, 82.40, 118.67 degrees
Closest atoms and distances in Å follow each position.
Sites, in units of the cell vectors:
Ag 0.5000 0.0000 0.5000  2 Ag 2.59, 2 Fe 2.65, 4 Tc 2.74
Fe 0.0000 0.5000 0.5000  2 Fe 2.59, 2 Ag 2.65, 4 Tc 2.74
Tc 0.0000 0.0000 0.0000  4 Tc 2.59-2.65, 2 Ag 2.74, 2 Fe 2.74
Tc 0.5000 0.5000 0.0000  4 Tc 2.59-2.65, 2 Fe 2.74, 2 Ag 2.74

Output
- Formation energy: 495 meV/atom
- Polymorph energy (0 for the lowest one): 0.177 eV/atom
- Theoretical density: 10.1 g cm⁻³